{"formula": "NbIn2CoO", "functional": "GGA+U", "state": "optimized geometry", "final_energy_ry_per_atom": -0.3720, "n_ef_per_ev_cell": 2.8, "sg": "No. 123", "lattice": [[4.9915, 0.0000, 0.0000], [0.0000, 4.9915, 0.0000], [0.0000, 0.0000, 3.5544]], "species": ["Nb", "In", "In", "Co", "O"], "frac_coords": [[0.0000, 0.0000, 0.0000], [0.0000, 0.5000, 0.5000], [0.5000, 0.0000, 0.5000], [0.5000, 0.5000, 0.0000], [0.5000, 0.5000, 0.5000]]}